VASP calculation (GGA-PBE) on KMnAs after structural relaxation.

The total magnetization comes out at 20.1 μB per cell.

CIF file:
```
data_KMnAs
_cell_length_a 7.069
_cell_length_b 7.069
_cell_length_c 7.069
_cell_angle_alpha 90.00
_cell_angle_beta 90.00
_cell_angle_gamma 90.00
_space_group_name_H-M_alt 'F -4 3 m'
_space_group_IT_number 216
_space_group_name_Hall 'F -4 2 3'
loop_
_atom_site_label
_atom_site_type_symbol
_atom_site_fract_x
_atom_site_fract_y
_atom_site_fract_z
K1 K 0.000 0.000 0.000
Mn1 Mn 0.250 0.250 0.250
As1 As 0.250 0.250 0.750
```

=====

VASP calculation (GGA-PBE) on Cs2BaH6Ir after structural relaxation.

The total magnetization comes out at 0.5 μB per cell.

CIF file:
```
data_Cs2BaH6Ir
_cell_length_a 6.5100
_cell_length_b 6.5100
_cell_length_c 6.6524
_cell_angle_alpha 90.00
_cell_angle_beta 90.00
_cell_angle_gamma 120.00
_space_group_name_H-M_alt 'P -3 m 1'
_space_group_IT_number 164
_space_group_name_Hall '-P 3 2"'
loop_
_atom_site_label
_atom_site_type_symbol
_atom_site_fract_x
_atom_site_fract_y
_atom_site_fract_z
Cs1 Cs 0.3333 0.6667 0.3816
Ba1 Ba 0.0000 0.0000 0.0000
H1 H 0.1227 0.2453 0.6481
Ir1 Ir 0.0000 0.0000 0.5000
```

=====

Number 1: raw total energy -0.29293 Ry/atom. Number 2: raw total energy -0.26745 Ry/atom.